Material: Li2LaAg8
Method: DFT, PBE
State: optimized geometry

Summary:
formation enthalpy at 0 K	0.14	eV/atom

Cell: 5.4819 5.4819 8.8825 Å, 90.00 90.00 90.00°
Element x y z (fractional)
Ag (0.7525, 0.2475, 0.7784)
Ag (0.2475, 0.7525, 0.2216)
Ag (0.2475, 0.2475, 0.2216)
La (0.5000, 0.5000, 0.5000)
Ag (0.7525, 0.7525, 0.7784)
Li (0.0000, 0.5000, 0.0000)
Ag (0.7525, 0.7525, 0.2216)
Li (0.5000, 0.0000, 0.0000)
Ag (0.2475, 0.7525, 0.7784)
Ag (0.2475, 0.2475, 0.7784)
Ag (0.7525, 0.2475, 0.2216)

---

Material: Na2TaRu
Method: DFT, PBE
State: optimized geometry

Summary:
ΔE to the lowest computed polymorph	287	meV per atom
formation enthalpy at 0 K	1.57	eV/atom

Cell: 4.6883 4.6883 4.6883 Å, 60.00 60.00 60.00°
Element x y z (fractional)
Na (0.7500, 0.7500, 0.7500)
Ru (0.0000, 0.0000, 0.0000)
Na (0.2500, 0.2500, 0.2500)
Ta (0.5000, 0.5000, 0.5000)